Entry from Alexandria via LeMat-Bulk: an optimized crystal structure of Na3Hf3NiO8 (PBE with a Hubbard U).

Properties
Its calculated volume is 12.99 Å³ per atom. The value obtained for the final energy is -7.594 eV per atom.

abc: 6.4258 6.4258 6.5956
angles: 118.57 118.57 58.85
Last column: nearest neighbours and their distance in Å.
Fractional positions:
Na  0.0000  0.0000  0.0000  6 O 2.50-2.51
Na  0.0000  0.5000  0.0000  6 O 2.41-2.61
Na  0.5000  0.0000  0.0000  6 O 2.41-2.61
Hf  0.0000  0.5000  0.5000  6 O 2.07-2.17
Hf  0.5000  0.0000  0.5000  6 O 2.07-2.17
Hf  0.5000  0.5000  0.5000  6 O 2.09-2.19
Ni  0.0000  0.0000  0.5000  6 O 2.18-2.42
O  0.2342  0.7130  0.6900  2 Hf 2.09-2.10, 1 Ni 2.18
O  0.2579  0.2579  0.7095  2 Hf 2.07
O  0.2659  0.2659  0.2900  3 Hf 2.17-2.19, 2 Na 2.41
O  0.2870  0.7658  0.3100  2 Hf 2.09-2.10, 1 Ni 2.18
O  0.7130  0.2342  0.6900  2 Hf 2.09-2.10, 1 Ni 2.18
O  0.7341  0.7341  0.7100  3 Hf 2.17-2.19, 2 Na 2.41
O  0.7421  0.7421  0.2905  2 Hf 2.07
O  0.7658  0.2870  0.3100  2 Hf 2.09-2.10, 1 Ni 2.18